Entry 1:
VASP calculation (meta-GGA SCAN) on a PBEsol-optimized structure of BeSiIr2Os.

Cell lengths 3.9899, 3.9899, 4.1192 Å; angles 90.00, 90.00, 90.00 degrees
Positions (direct):
Ir: 0.5000 0.0000 0.0000
Ir: 0.0000 0.5000 0.0000
Si: 0.0000 0.0000 0.5000
Be: 0.0000 0.0000 0.0000
Os: 0.5000 0.5000 0.5000

Calculated values
Uncorrected formation energy = 0.641 eV per atom

---

Entry 2:
VASP calculation (meta-GGA SCAN) on a PBEsol-optimized structure of LiRhSN2.

Cell lengths 3.7010, 3.7010, 5.1412 Å; angles 90.00, 90.00, 90.00 degrees
Positions (direct):
S: 0.0000 0.0000 0.5000
N: 0.5000 0.0000 0.0000
N: 0.0000 0.5000 0.0000
Li: 0.5000 0.5000 0.5000
Rh: 0.0000 0.0000 0.0000

Calculated values
Uncorrected formation energy = 0.576 eV per atom

---

Entry 3:
VASP calculation (meta-GGA SCAN) on a PBEsol-optimized structure of FeMoF3.

Cell lengths 4.0689, 4.0689, 4.0689 Å; angles 90.00, 90.00, 90.00 degrees
Site moments in Bohr magnetons follow the coordinates.
Positions (direct):
Fe: 0.0000 0.0000 0.0000  3.81
Mo: 0.5000 0.5000 0.5000  4.41
F: 0.0000 0.0000 0.5000  0.13
F: 0.5000 0.0000 0.0000  0.13
F: 0.0000 0.5000 0.0000  0.13

Calculated values
Uncorrected formation energy = -1.127 eV per atom

---

Entry 4:
VASP calculation (meta-GGA SCAN) on a PBEsol-optimized structure of K2LaSi.

Cell lengths 4.5846, 4.5846, 6.9510 Å; angles 109.26, 109.26, 90.00 degrees
Site moments in Bohr magnetons follow the coordinates.
Positions (direct):
K: 0.2500 0.7500 0.5000  0.03
K: 0.7500 0.2500 0.5000  0.03
La: 0.5000 0.5000 0.0000  0.24
Si: 0.0000 0.0000 0.0000  0.00

Calculated values
Uncorrected formation energy = 0.130 eV per atom

---

Entry 5:
VASP calculation (meta-GGA SCAN) on a PBEsol-optimized structure of Be2MoAs.

Cell lengths 2.7913, 4.3816, 4.3816 Å; angles 111.70, 90.00, 90.00 degrees
Positions (direct):
Be: 0.0000 0.0000 0.5000
Be: 0.0000 0.5000 0.0000
Mo: 0.5000 0.0000 0.0000
As: 0.5000 0.5000 0.5000

Calculated values
Formation energy = 0.226 eV/atom

---

Entry 6:
VASP calculation (meta-GGA SCAN) on a PBEsol-optimized structure of Cs2KCeCl6.

Cell lengths 7.9968, 7.9968, 7.9968 Å; angles 60.00, 60.00, 60.00 degrees
Site moments in Bohr magnetons follow the coordinates.
Positions (direct):
K: 0.5000 0.5000 0.5000  0.00
Cl: 0.2397 0.7603 0.2397  -0.01
Cl: 0.7603 0.2397 0.7603  -0.01
Cl: 0.7603 0.7603 0.2397  -0.01
Cl: 0.7603 0.2397 0.2397  -0.01
Cl: 0.2397 0.2397 0.7603  -0.01
Cl: 0.2397 0.7603 0.7603  -0.01
Cs: 0.7500 0.7500 0.7500  0.00
Cs: 0.2500 0.2500 0.2500  0.00
Ce: 0.0000 0.0000 0.0000  0.95

Calculated values
Uncorrected formation energy = -2.340 eV per atom

---

Entry 7:
VASP calculation (meta-GGA SCAN) on a PBEsol-optimized structure of BeSb2Te.

Cell lengths 4.1515, 4.1515, 6.2801 Å; angles 109.30, 109.30, 90.00 degrees
Positions (direct):
Sb: 0.2500 0.7500 0.5000
Sb: 0.7500 0.2500 0.5000
Te: 0.5000 0.5000 0.0000
Be: 0.0000 0.0000 0.0000

Calculated values
Energy above the lowest structure with this stoichiometry = 400 meV per atom
Uncorrected formation energy = 0.640 eV per atom

---

Entry 8:
VASP calculation (meta-GGA SCAN) on a PBEsol-optimized structure of AlAs2Br.

Cell lengths 3.1216, 4.9931, 4.9931 Å; angles 90.00, 90.00, 90.00 degrees
Positions (direct):
As: 0.0000 0.0000 0.5000
As: 0.0000 0.5000 0.0000
Br: 0.5000 0.5000 0.5000
Al: 0.5000 0.0000 0.0000

Calculated values
Energy above the lowest structure with this stoichiometry = 464 meV per atom
Uncorrected formation energy = 0.491 eV per atom

---

Entry 9:
VASP calculation (meta-GGA SCAN) on a PBEsol-optimized structure of ZrFe2Tc.

Cell lengths 2.6800, 4.9036, 4.9036 Å; angles 115.38, 98.86, 98.86 degrees
Site moments in Bohr magnetons follow the coordinates.
Positions (direct):
Fe: 0.0000 0.0000 0.5000  2.51
Fe: 0.0000 0.5000 0.0000  2.51
Tc: 0.5000 0.0000 0.0000  -0.01
Zr: 0.5000 0.5000 0.5000  -0.44

Calculated values
Formation energy = 0.085 eV/atom
Energy above the lowest structure with this stoichiometry = 101 meV per atom

---

Entry 10:
VASP calculation (meta-GGA SCAN) on a PBEsol-optimized structure of ScSiTeN2.

Cell lengths 4.0340, 4.0340, 5.7857 Å; angles 90.00, 90.00, 90.00 degrees
Positions (direct):
N: 0.0000 0.5000 0.0000
N: 0.5000 0.0000 0.0000
Si: 0.5000 0.5000 0.5000
Te: 0.0000 0.0000 0.5000
Sc: 0.0000 0.0000 0.0000

Calculated values
Uncorrected formation energy = 0.846 eV per atom

---

Entry 11:
VASP calculation (meta-GGA SCAN) on a PBEsol-optimized structure of Ti2Al2Au.

Cell lengths 3.9642, 6.4097, 6.4097 Å; angles 90.00, 90.00, 90.00 degrees
Positions (direct):
Al: 0.0000 0.8612 0.6388
Al: 0.0000 0.1388 0.3612
Al: 0.0000 0.3612 0.8612
Al: 0.0000 0.6388 0.1388
Ti: 0.5000 0.1586 0.6586
Ti: 0.5000 0.8414 0.3414
Ti: 0.5000 0.3414 0.1586
Ti: 0.5000 0.6586 0.8414
Au: 0.0000 0.5000 0.5000
Au: 0.0000 0.0000 0.0000

Calculated values
Formation energy = -0.566 eV/atom
Energy above the lowest structure with this stoichiometry = 0 meV per atom

---

Entry 12:
VASP calculation (meta-GGA SCAN) on a PBEsol-optimized structure of CsCeP4O12.

Cell lengths 7.1941, 8.8350, 9.2563 Å; angles 90.00, 90.00, 99.39 degrees
Site moments in Bohr magnetons follow the coordinates.
Positions (direct):
Cs: 0.1722 0.1768 0.2017  0.00
Cs: 0.8278 0.8232 0.7017  0.00
O: 0.0421 0.4916 0.0893  0.00
O: 0.4521 0.1981 0.9347  0.00
O: 0.8413 0.3670 0.2998  0.00
O: 0.1587 0.6330 0.7998  0.00
O: 0.3591 0.9201 0.8822  0.00
O: 0.6519 0.4055 0.7832  0.00
O: 0.5479 0.8019 0.4347  0.00
O: 0.4232 0.4710 0.9821  0.00
O: 0.9579 0.5084 0.5893  0.00
O: 0.2263 0.3872 0.6936  0.00
O: 0.6544 0.7684 0.9961  0.00
O: 0.9912 0.1830 0.5629  0.00
O: 0.3481 0.5945 0.2832  0.00
O: 0.0088 0.8170 0.0629  0.00
O: 0.5768 0.5290 0.4821  0.00
O: 0.4235 0.9094 0.2039  0.00
O: 0.7749 0.8902 0.2352  0.00
O: 0.3456 0.2316 0.4961  0.00
O: 0.7108 0.3604 0.0517  0.00
O: 0.5765 0.0906 0.7039  0.00
O: 0.2251 0.1098 0.7352  0.00
O: 0.6409 0.0799 0.3822  0.00
O: 0.7737 0.6128 0.1936  0.00
O: 0.2892 0.6396 0.5517  0.00
P: 0.1934 0.2262 0.6073  0.00
P: 0.4164 0.0699 0.8094  0.00
P: 0.8550 0.4568 0.1628  0.00
P: 0.5598 0.3743 0.9271  0.00
P: 0.8066 0.7738 0.1073  0.00
P: 0.5836 0.9301 0.3094  0.00
P: 0.4402 0.6257 0.4271  0.00
P: 0.1450 0.5432 0.6628  0.00
Ce: 0.2983 0.6976 0.0361  0.94
Ce: 0.7017 0.3024 0.5361  0.94

Calculated values
Uncorrected formation energy = -2.710 eV per atom

---

For each record above, in turn, the calculated volume values are 65.6, 70.4, 67.4, 129.2, 49.8, 361.6, 95.7, 77.8, 55.7, 94.2, 162.9, 580.4 Å³ per cell.